# PBE LiPrTl5, relaxed
# E = -2.857 eV/atom
# Total magnetic moment = 0.00 μB/cell
data_LiPrTl5
_chemical_formula_sum 'Li1 Pr1 Tl5'
_symmetry_space_group_name_H-M 'P 4/m m m'
_symmetry_Int_Tables_number 123
_symmetry_space_group_name_Hall '-P 4 2'
_cell_length_a 4.9306
_cell_length_b 4.9306
_cell_length_c 7.8761
_cell_angle_alpha 90.00
_cell_angle_beta 90.00
_cell_angle_gamma 90.00
loop_
_atom_site_label
_atom_site_type_symbol
_atom_site_fract_x
_atom_site_fract_y
_atom_site_fract_z
Li1 Li 0.0000 0.0000 0.0000
Pr1 Pr 0.0000 0.0000 0.5000
Tl1 Tl 0.0000 0.5000 0.2024
Tl2 Tl 0.5000 0.5000 0.5000

---

# PBE Li4PrTl, relaxed
# E = -2.536 eV/atom
# Total magnetic moment = 0.06 μB/cell
data_Li4PrTl
_chemical_formula_sum 'Li4 Pr1 Tl1'
_symmetry_space_group_name_H-M 'P 6/m m m'
_symmetry_Int_Tables_number 191
_symmetry_space_group_name_Hall '-P 6 2'
_cell_length_a 4.8057
_cell_length_b 4.8057
_cell_length_c 6.7264
_cell_angle_alpha 90.00
_cell_angle_beta 90.00
_cell_angle_gamma 120.00
loop_
_atom_site_label
_atom_site_type_symbol
_atom_site_fract_x
_atom_site_fract_y
_atom_site_fract_z
Li1 Li 0.3333 0.6667 0.1962
Pr1 Pr 0.0000 0.0000 0.5000
Tl1 Tl 0.0000 0.0000 0.0000

---

# PBE Li3PrTl3, relaxed
# E = -2.404 eV/atom
# Total magnetic moment = 0.00 μB/cell
data_Li3PrTl3
_chemical_formula_sum 'Li6 Pr2 Tl6'
_symmetry_space_group_name_H-M 'P m -3 n'
_symmetry_Int_Tables_number 223
_symmetry_space_group_name_Hall '-P 4n 2 3'
_cell_length_a 7.1719
_cell_length_b 7.1719
_cell_length_c 7.1719
_cell_angle_alpha 90.00
_cell_angle_beta 90.00
_cell_angle_gamma 90.00
loop_
_atom_site_label
_atom_site_type_symbol
_atom_site_fract_x
_atom_site_fract_y
_atom_site_fract_z
Li1 Li 0.0000 0.2500 0.5000
Pr1 Pr 0.0000 0.0000 0.0000
Tl1 Tl 0.0000 0.5000 0.2500

---

# PBE Li4PrTl2, relaxed
# E = -2.692 eV/atom
# Total magnetic moment = 0.00 μB/cell
data_Li4PrTl2
_chemical_formula_sum 'Li8 Pr2 Tl4'
_symmetry_space_group_name_H-M 'P 42/m n m'
_symmetry_Int_Tables_number 136
_symmetry_space_group_name_Hall '-P 4n 2n'
_cell_length_a 8.0591
_cell_length_b 8.0591
_cell_length_c 4.8150
_cell_angle_alpha 90.00
_cell_angle_beta 90.00
_cell_angle_gamma 90.00
loop_
_atom_site_label
_atom_site_type_symbol
_atom_site_fract_x
_atom_site_fract_y
_atom_site_fract_z
Li1 Li 0.1023 0.3558 0.0000
Pr1 Pr 0.0000 0.0000 0.5000
Tl1 Tl 0.2110 0.7890 0.0000

---

# PBE Li3Pr2Tl2, relaxed
# E = -3.103 eV/atom
# Total magnetic moment = 0.00 μB/cell
data_Li3Pr2Tl2
_chemical_formula_sum 'Li6 Pr4 Tl4'
_symmetry_space_group_name_H-M 'C 1 2/m 1'
_symmetry_Int_Tables_number 12
_cell_length_a 10.8704
_cell_length_b 4.9938
_cell_length_c 6.8702
_cell_angle_alpha 90.00
_cell_angle_beta 106.85
_cell_angle_gamma 90.00
loop_
_symmetry_equiv_pos_as_xyz
'x,y,z'
'-x,-y,-z'
'-x,y,-z'
'x,-y,z'
'x+1/2,y+1/2,z'
'-x+1/2,-y+1/2,-z'
'-x+1/2,y+1/2,-z'
'x+1/2,-y+1/2,z'
loop_
_atom_site_label
_atom_site_type_symbol
_atom_site_fract_x
_atom_site_fract_y
_atom_site_fract_z
Li1 Li 0.0000 0.0000 0.0000
Li2 Li 0.1065 0.0000 0.4253
Pr1 Pr 0.1486 0.5000 0.7695
Tl1 Tl 0.1530 0.5000 0.2498

---

# PBE LiPr3Tl, relaxed
# E = -3.771 eV/atom
# Total magnetic moment = 0.00 μB/cell
data_LiPr3Tl
_chemical_formula_sum 'Li2 Pr6 Tl2'
_symmetry_space_group_name_H-M 'P 1 m 1'
_symmetry_Int_Tables_number 6
_cell_length_a 6.2739
_cell_length_b 5.5005
_cell_length_c 9.4371
_cell_angle_alpha 90.00
_cell_angle_beta 108.98
_cell_angle_gamma 90.00
loop_
_symmetry_equiv_pos_as_xyz
'x,y,z'
'x,-y,z'
loop_
_atom_site_label
_atom_site_type_symbol
_atom_site_fract_x
_atom_site_fract_y
_atom_site_fract_z
Li1 Li 0.0000 0.0000 0.0000
Li2 Li 0.0353 0.5000 0.1859
Pr1 Pr 0.0882 0.5000 0.5685
Pr2 Pr 0.2094 0.0000 0.3932
Pr3 Pr 0.3473 0.0000 0.8070
Pr4 Pr 0.6014 0.0000 0.1804
Pr5 Pr 0.7349 0.5000 0.8220
Pr6 Pr 0.7632 0.0000 0.5785
Tl1 Tl 0.2902 0.5000 0.9838
Tl2 Tl 0.5159 0.5000 0.3998

---

# PBE Li3PrTl4, relaxed
# E = -2.770 eV/atom
# Total magnetic moment = 0.00 μB/cell
data_Li3PrTl4
_chemical_formula_sum 'Li9 Pr3 Tl12'
_symmetry_space_group_name_H-M 'R -3 m'
_symmetry_Int_Tables_number 166
_symmetry_space_group_name_Hall '-R 3 2"'
_cell_length_a 5.0182
_cell_length_b 5.0182
_cell_length_c 26.2204
_cell_angle_alpha 90.00
_cell_angle_beta 90.00
_cell_angle_gamma 120.00
loop_
_atom_site_label
_atom_site_type_symbol
_atom_site_fract_x
_atom_site_fract_y
_atom_site_fract_z
Li1 Li 0.0000 0.0000 0.0000
Li2 Li 0.0000 0.0000 0.2533
Pr1 Pr 0.0000 0.0000 0.5000
Tl1 Tl 0.0000 0.0000 0.1124
Tl2 Tl 0.0000 0.0000 0.3704

---

# PBE Li4PrTl, relaxed
# E = -2.582 eV/atom
# Total magnetic moment = 0.00 μB/cell
data_Li4PrTl
_chemical_formula_sum 'Li16 Pr4 Tl4'
_symmetry_space_group_name_H-M 'F -4 3 m'
_symmetry_Int_Tables_number 216
_symmetry_space_group_name_Hall 'F -4 2 3'
_cell_length_a 7.9565
_cell_length_b 7.9565
_cell_length_c 7.9565
_cell_angle_alpha 90.00
_cell_angle_beta 90.00
_cell_angle_gamma 90.00
loop_
_atom_site_label
_atom_site_type_symbol
_atom_site_fract_x
_atom_site_fract_y
_atom_site_fract_z
Li1 Li 0.1238 0.1238 0.1238
Pr1 Pr 0.0000 0.0000 0.5000
Tl1 Tl 0.2500 0.2500 0.7500

---

# PBE Li2Pr2Tl, relaxed
# E = -3.276 eV/atom
# Total magnetic moment = 0.01 μB/cell
data_Li2Pr2Tl
_chemical_formula_sum 'Li8 Pr8 Tl4'
_symmetry_space_group_name_H-M 'C 1 2/c 1'
_symmetry_Int_Tables_number 15
_cell_length_a 11.0403
_cell_length_b 6.7437
_cell_length_c 7.8037
_cell_angle_alpha 90.00
_cell_angle_beta 111.10
_cell_angle_gamma 90.00
loop_
_symmetry_equiv_pos_as_xyz
'x,y,z'
'-x,-y,-z'
'-x,y,-z+1/2'
'x,-y,z+1/2'
'x+1/2,y+1/2,z'
'-x+1/2,-y+1/2,-z'
'-x+1/2,y+1/2,-z+1/2'
'x+1/2,-y+1/2,z+1/2'
loop_
_atom_site_label
_atom_site_type_symbol
_atom_site_fract_x
_atom_site_fract_y
_atom_site_fract_z
Li1 Li 0.0691 0.1309 0.4414
Pr1 Pr 0.1936 0.4216 0.1554
Tl1 Tl 0.0000 0.2436 0.7500

---

# PBE LiPr2Tl6, relaxed
# E = -3.005 eV/atom
# Total magnetic moment = 0.00 μB/cell
data_LiPr2Tl6
_chemical_formula_sum 'Li2 Pr4 Tl12'
_symmetry_space_group_name_H-M 'C m m m'
_symmetry_Int_Tables_number 65
_symmetry_space_group_name_Hall '-C 2 2'
_cell_length_a 8.6964
_cell_length_b 16.3444
_cell_length_c 3.6894
_cell_angle_alpha 90.00
_cell_angle_beta 90.00
_cell_angle_gamma 90.00
loop_
_atom_site_label
_atom_site_type_symbol
_atom_site_fract_x
_atom_site_fract_y
_atom_site_fract_z
Li1 Li 0.0000 0.0000 0.0000
Pr1 Pr 0.0000 0.3083 0.5000
Tl1 Tl 0.1816 0.1545 0.0000
Tl2 Tl 0.1881 0.5000 0.5000

---

# PBE LiPr6Tl, relaxed
# E = -4.209 eV/atom
# Total magnetic moment = 0.00 μB/cell
data_LiPr6Tl
_chemical_formula_sum 'Li2 Pr12 Tl2'
_symmetry_space_group_name_H-M 'I 4/m m m'
_symmetry_Int_Tables_number 139
_symmetry_space_group_name_Hall '-I 4 2'
_cell_length_a 5.2508
_cell_length_b 5.2508
_cell_length_c 19.0186
_cell_angle_alpha 90.00
_cell_angle_beta 90.00
_cell_angle_gamma 90.00
loop_
_atom_site_label
_atom_site_type_symbol
_atom_site_fract_x
_atom_site_fract_y
_atom_site_fract_z
Li1 Li 0.0000 0.0000 0.0000
Pr1 Pr 0.0000 0.0000 0.2482
Pr2 Pr 0.0000 0.5000 0.1131
Tl1 Tl 0.0000 0.0000 0.5000

---

# PBE LiPr2Tl, relaxed
# E = -3.664 eV/atom
# Total magnetic moment = 0.00 μB/cell
data_LiPr2Tl
_chemical_formula_sum 'Li4 Pr8 Tl4'
_symmetry_space_group_name_H-M 'I m m a'
_symmetry_Int_Tables_number 74
_symmetry_space_group_name_Hall '-I 2b 2'
_cell_length_a 7.1490
_cell_length_b 8.9829
_cell_length_c 7.1668
_cell_angle_alpha 90.00
_cell_angle_beta 90.00
_cell_angle_gamma 90.00
loop_
_atom_site_label
_atom_site_type_symbol
_atom_site_fract_x
_atom_site_fract_y
_atom_site_fract_z
Li1 Li 0.0000 0.2500 0.0130
Pr1 Pr 0.2500 0.0057 0.7500
Tl1 Tl 0.0000 0.2500 0.4898

---

Q: Look up the E of the twelfth one.
A: -3.664 eV/atom